Computed, not measured: a relaxed structure of TmSc2Au at the PBE level of DFT.

Properties
E_form: -0.43 eV per atom
DOS(E_F): 11.48 states/eV per cell
SG: Cmcm (63)

Cell lengths 4.6873, 5.9678, 7.5622 Å; angles 90.00, 90.00, 113.10 degrees
Positions (direct):
Au 0.7893 0.5788 0.7500
Au 0.2107 0.4212 0.2500
Sc 0.6471 0.2941 0.4554
Sc 0.3529 0.7059 0.5446
Sc 0.6471 0.2941 0.0446
Sc 0.3529 0.7059 0.9554
Tm 0.9455 0.8910 0.2500
Tm 0.0545 0.1090 0.7500

Computed, not measured: a relaxed structure of TmScAu at the PBE level of DFT.

Properties
E_form: -0.44 eV per atom
DOS(E_F): 2.37 states/eV per cell
SG: P3m1 (156)

Cell lengths 3.6157, 4.7412, 4.7412 Å; angles 120.00, 90.00, 90.00 degrees
Positions (direct):
Sc 0.0938 0.0000 0.0000
Tm 0.6245 0.6667 0.3333
Au 0.2817 0.3333 0.6667

Computed, not measured: a relaxed structure of TmScAu at the PBE level of DFT.

Properties
E_form: -0.44 eV per atom
DOS(E_F): 7.29 states/eV per cell
SG: R-3m (166)

Cell lengths 4.8047, 4.8047, 8.2607 Å; angles 73.09, 73.09, 60.00 degrees
Positions (direct):
Tm 0.1223 0.1223 0.6331
Tm 0.8777 0.8777 0.3669
Au 0.2522 0.2522 0.2434
Au 0.7478 0.7478 0.7566
Sc 0.6274 0.6274 0.1178
Sc 0.3726 0.3726 0.8822

Computed, not measured: a relaxed structure of TmSc2Au at the PBE level of DFT.

Properties
E_form: -0.32 eV per atom
DOS(E_F): 6.05 states/eV per cell
SG: P4/mmm (123)

Cell lengths 4.6148, 4.4174, 4.4174 Å; angles 90.00, 90.00, 90.00 degrees
Positions (direct):
Sc 0.0000 0.5000 0.0000
Sc 0.0000 0.0000 0.5000
Au 0.5000 0.0000 0.0000
Tm 0.5000 0.5000 0.5000

Computed, not measured: a relaxed structure of TmScAu6 at the PBE level of DFT.

Properties
E_form: -0.64 eV per atom
DOS(E_F): 3.81 states/eV per cell
SG: C2/m (12)

Cell lengths 4.3697, 5.0693, 7.9903 Å; angles 80.28, 74.13, 64.47 degrees
Positions (direct):
Au 0.4967 0.2580 0.7486
Au 0.2482 0.3715 0.1321
Au 0.5033 0.7420 0.2514
Au 0.2516 0.8778 0.6190
Au 0.7518 0.6285 0.8679
Au 0.7484 0.1222 0.3810
Tm 0.0000 0.0000 0.0000
Sc 0.0000 0.5000 0.5000

Computed, not measured: a relaxed structure of Tm2ScAu2 at the PBE level of DFT.

Properties
E_form: -0.70 eV per atom
DOS(E_F): 15.35 states/eV per cell
SG: P4/mbm (127)

Cell lengths 3.6718, 7.9967, 7.9967 Å; angles 90.00, 90.00, 90.00 degrees
Positions (direct):
Sc 0.5000 0.0000 0.5000
Sc 0.5000 0.5000 0.0000
Au 0.5000 0.1362 0.8638
Au 0.5000 0.3638 0.3638
Au 0.5000 0.6362 0.6362
Au 0.5000 0.8638 0.1362
Tm 0.0000 0.1636 0.1636
Tm 0.0000 0.8364 0.8364
Tm 0.0000 0.6636 0.3364
Tm 0.0000 0.3364 0.6636

Computed, not measured: a relaxed structure of Tm2ScAu4 at the PBE level of DFT.

Properties
E_form: -0.72 eV per atom
DOS(E_F): 4.46 states/eV per cell
SG: R-3m (166)

Cell lengths 4.8369, 4.8369, 8.5329 Å; angles 73.54, 73.54, 60.00 degrees
Positions (direct):
Sc 0.0000 0.0000 0.0000
Au 0.8796 0.8796 0.3612
Au 0.6363 0.6363 0.0912
Au 0.1204 0.1204 0.6388
Au 0.3637 0.3637 0.9088
Tm 0.7574 0.7574 0.7279
Tm 0.2426 0.2426 0.2721

Computed, not measured: a relaxed structure of TmScAu at the PBE level of DFT.

Properties
E_form: -0.65 eV per atom
DOS(E_F): 11.05 states/eV per cell
SG: P-62m (189)

Cell lengths 7.1785, 8.6012, 8.6013 Å; angles 66.73, 65.34, 65.34 degrees
Positions (direct):
Tm 0.1638 0.0449 0.5449
Tm 0.7536 0.9551 0.4551
Tm 0.1639 0.5448 0.0448
Tm 0.3427 0.2500 0.7500
Tm 0.7535 0.4552 0.9552
Tm 0.3428 0.7500 0.2500
Sc 0.0082 0.0000 0.0000
Sc 0.7533 0.3725 0.3726
Sc 0.7533 0.8726 0.8725
Sc 0.0082 0.5000 0.5000
Sc 0.4984 0.6275 0.6274
Sc 0.4984 0.1274 0.1275
Au 0.0865 0.6667 0.6667
Au 0.0865 0.1667 0.1667
Au 0.4199 0.8333 0.8333
Au 0.4199 0.3333 0.3333
Au 0.7533 0.2501 0.7501
Au 0.7535 0.7499 0.2499

Computed, not measured: a relaxed structure of Tm4ScAu2 at the PBE level of DFT.

Properties
E_form: -0.28 eV per atom
DOS(E_F): 10.31 states/eV per cell
SG: R-3m (166)

Cell lengths 4.9075, 4.9075, 9.8068 Å; angles 75.51, 75.51, 60.00 degrees
Positions (direct):
Tm 0.2957 0.2957 0.1128
Tm 0.8910 0.8910 0.3270
Tm 0.7043 0.7043 0.8872
Tm 0.1090 0.1090 0.6730
Au 0.5995 0.5995 0.2014
Au 0.4005 0.4005 0.7986
Sc 0.5000 0.5000 0.5000

Computed, not measured: a relaxed structure of TmSc5Au6 at the PBE level of DFT.

Properties
E_form: -0.81 eV per atom
DOS(E_F): 7.39 states/eV per cell
SG: C2/m (12)

Cell lengths 4.8626, 6.8375, 8.4153 Å; angles 113.97, 106.88, 90.00 degrees
Positions (direct):
Sc 0.3326 0.3325 0.6651
Sc 0.0000 0.5000 0.0000
Sc 0.3337 0.8338 0.6677
Sc 0.6674 0.6675 0.3349
Sc 0.6663 0.1662 0.3323
Au 0.8297 0.5747 0.6597
Au 0.1703 0.4253 0.3403
Au 0.5000 0.2610 0.0000
Au 0.8297 0.0850 0.6597
Au 0.1703 0.9150 0.3403
Au 0.5000 0.7390 0.0000
Tm 0.0000 0.0000 0.0000

Computed, not measured: a relaxed structure of TmScZn2Au4 at the PBE level of DFT.

Properties
E_form: -0.63 eV per atom
DOS(E_F): 3.48 states/eV per cell
SG: R-3m (166)

Cell lengths 4.7320, 4.7320, 8.1587 Å; angles 73.14, 73.14, 60.00 degrees
Positions (direct):
Au 0.6216 0.6216 0.1350
Au 0.8709 0.8709 0.3874
Au 0.1291 0.1291 0.6126
Au 0.3784 0.3784 0.8650
Sc 0.5000 0.5000 0.5000
Zn 0.7499 0.7499 0.7503
Zn 0.2501 0.2501 0.2497
Tm 0.0000 0.0000 0.0000

Computed, not measured: a relaxed structure of ScUAu at the PBE level of DFT.

Properties
E_form: -0.31 eV per atom
DOS(E_F): 9.99 states/eV per cell
SG: Cmcm (63)

Cell lengths 3.1567, 4.8821, 8.2511 Å; angles 90.00, 101.03, 90.00 degrees
Positions (direct):
Sc 0.4284 0.2500 0.8569
Sc 0.5716 0.7500 0.1431
U 0.2516 0.7500 0.5033
U 0.7484 0.2500 0.4967
Au 0.0859 0.2500 0.1717
Au 0.9141 0.7500 0.8283

Computed, not measured: a relaxed structure of ScVAu3 at the PBE level of DFT.

Properties
E_form: 0.44 eV per atom
DOS(E_F): 7.09 states/eV per cell
SG: Pm-3m (221)

Cell lengths 4.8426, 4.8426, 4.8426 Å; angles 90.00, 90.00, 90.00 degrees
Positions (direct):
Au 0.5000 0.0000 0.0000
Au 0.0000 0.5000 0.0000
Au 0.0000 0.0000 0.5000
Sc 0.5000 0.5000 0.5000
V 0.0000 0.0000 0.0000

Computed, not measured: a relaxed structure of ScVAu2 at the PBE level of DFT.

Properties
E_form: 0.04 eV per atom
DOS(E_F): 8.27 states/eV per cell
SG: I-42d (122)

Cell lengths 7.4496, 7.4496, 5.9705 Å; angles 51.40, 51.40, 90.00 degrees
Positions (direct):
Sc 0.5000 0.5000 0.0000
Sc 0.2500 0.7500 0.5000
V 0.0000 0.0000 0.0000
V 0.7500 0.2500 0.5000
Au 0.3750 0.3508 0.7500
Au 0.6492 0.1250 0.2500
Au 0.8750 0.8992 0.7500
Au 0.1008 0.6250 0.2500

Computed, not measured: a relaxed structure of ScV3Au at the PBE level of DFT.

Properties
E_form: 1.22 eV per atom
DOS(E_F): 12.76 states/eV per cell
SG: Pm-3m (221)

Cell lengths 4.8655, 4.8655, 4.8655 Å; angles 90.00, 90.00, 90.00 degrees
Positions (direct):
Au 0.0000 0.0000 0.0000
Sc 0.5000 0.5000 0.5000
V 0.5000 0.0000 0.0000
V 0.0000 0.5000 0.0000
V 0.0000 0.0000 0.5000

Computed, not measured: a relaxed structure of ScV3Au at the PBE level of DFT.

Properties
E_form: 1.51 eV per atom
DOS(E_F): 5.53 states/eV per cell
SG: Pm-3m (221)

Cell lengths 4.4755, 4.4755, 4.4755 Å; angles 90.00, 90.00, 90.00 degrees
Positions (direct):
Sc 0.0000 0.0000 0.0000
V 0.0000 0.5000 0.0000
V 0.5000 0.0000 0.0000
V 0.0000 0.0000 0.5000
Au 0.5000 0.5000 0.5000

Computed, not measured: a relaxed structure of Sc2VAu2 at the PBE level of DFT.

Properties
E_form: -0.09 eV per atom
DOS(E_F): 2.00 states/eV per cell
SG: I4/mmm (139)

Cell lengths 5.2151, 5.2151, 5.5016 Å; angles 61.71, 61.71, 90.00 degrees
Positions (direct):
Au 0.3429 0.3429 0.3142
Au 0.6571 0.6571 0.6858
Sc 0.2500 0.7500 0.5000
Sc 0.7500 0.2500 0.5000
V 0.0000 0.0000 0.0000

Computed, not measured: a relaxed structure of Sc3VAu at the PBE level of DFT.

Properties
E_form: 0.46 eV per atom
DOS(E_F): 8.44 states/eV per cell
SG: Pm-3m (221)

Cell lengths 5.1510, 5.1510, 5.1510 Å; angles 90.00, 90.00, 90.00 degrees
Positions (direct):
Au 0.0000 0.0000 0.0000
Sc 0.5000 0.0000 0.0000
Sc 0.0000 0.5000 0.0000
Sc 0.0000 0.0000 0.5000
V 0.5000 0.5000 0.5000

Computed, not measured: a relaxed structure of Sc3VAu at the PBE level of DFT.

Properties
E_form: 0.37 eV per atom
DOS(E_F): 5.31 states/eV per cell
SG: Pm-3m (221)

Cell lengths 4.8216, 4.8216, 4.8216 Å; angles 90.00, 90.00, 90.00 degrees
Positions (direct):
V 0.0000 0.0000 0.0000
Sc 0.0000 0.0000 0.5000
Sc 0.5000 0.0000 0.0000
Sc 0.0000 0.5000 0.0000
Au 0.5000 0.5000 0.5000

Computed, not measured: a relaxed structure of ScVAu2 at the PBE level of DFT.

Properties
E_form: -0.33 eV per atom
DOS(E_F): 4.80 states/eV per cell
SG: Fm-3m (225)

Cell lengths 4.6937, 4.6937, 4.6937 Å; angles 60.00, 60.00, 60.00 degrees
Positions (direct):
Au 0.7500 0.7500 0.7500
Au 0.2500 0.2500 0.2500
V 0.5000 0.5000 0.5000
Sc 0.0000 0.0000 0.0000

Computed, not measured: a relaxed structure of Sc2VAu2 at the PBE level of DFT.

Properties
E_form: -0.36 eV per atom
DOS(E_F): 13.66 states/eV per cell
SG: P4/mbm (127)

Cell lengths 7.5648, 7.5648, 3.5139 Å; angles 90.00, 90.00, 90.00 degrees
Positions (direct):
Sc 0.3328 0.1672 0.5000
Sc 0.1672 0.6672 0.5000
Sc 0.8328 0.3328 0.5000
Sc 0.6672 0.8328 0.5000
Au 0.6348 0.1348 0.0000
Au 0.8652 0.6348 0.0000
Au 0.3652 0.8652 0.0000
Au 0.1348 0.3652 0.0000
V 0.0000 0.0000 0.0000
V 0.5000 0.5000 0.0000

Computed, not measured: a relaxed structure of ScVZn2Au at the PBE level of DFT.

Properties
E_form: 0.71 eV per atom
DOS(E_F): 4.54 states/eV per cell
SG: P4/mmm (123)

Cell lengths 4.7953, 4.5769, 4.7953 Å; angles 90.00, 90.00, 90.00 degrees
Positions (direct):
Sc 0.0000 0.5000 0.0000
V 0.0000 0.0000 0.0000
Zn 0.0000 0.0000 0.5000
Zn 0.5000 0.0000 0.0000
Au 0.5000 0.5000 0.5000

Computed, not measured: a relaxed structure of ScWAu2 at the PBE level of DFT.

Properties
E_form: 0.12 eV per atom
DOS(E_F): 4.46 states/eV per cell
SG: I-4m2 (119)

Cell lengths 5.1769, 5.1769, 5.1769 Å; angles 133.31, 133.31, 68.17 degrees
Positions (direct):
Au 0.2500 0.7500 0.5000
Au 0.0000 0.0000 0.0000
Sc 0.5000 0.5000 0.0000
W 0.7500 0.2500 0.5000

Computed, not measured: a relaxed structure of ScW2Au at the PBE level of DFT.

Properties
E_form: 0.03 eV per atom
DOS(E_F): 4.33 states/eV per cell
SG: P4mm (99)

Cell lengths 3.3184, 3.3184, 6.4305 Å; angles 90.00, 90.00, 90.00 degrees
Positions (direct):
W 0.5000 0.5000 0.2247
W 0.0000 0.0000 0.0226
Au 0.0000 0.0000 0.5027
Sc 0.5000 0.5000 0.7500

Computed, not measured: a relaxed structure of ScWAu2 at the PBE level of DFT.

Properties
E_form: 0.12 eV per atom
DOS(E_F): 2.96 states/eV per cell
SG: C2/m (12)

Cell lengths 5.0923, 5.0923, 5.1856 Å; angles 81.01, 81.01, 32.87 degrees
Positions (direct):
Au 0.5066 0.5066 0.4911
Au 0.9934 0.9934 0.0089
W 0.2500 0.2500 0.2500
Sc 0.7500 0.7500 0.7500

Computed, not measured: a relaxed structure of ScW2Au at the PBE level of DFT.

Properties
E_form: 0.20 eV per atom
DOS(E_F): 2.93 states/eV per cell
SG: P2/m (10)

Cell lengths 4.9523, 2.8180, 5.0919 Å; angles 83.18, 90.00, 90.00 degrees
Positions (direct):
W 0.0000 0.4428 0.5103
W 0.0000 0.0572 0.9897
Sc 0.5000 0.7500 0.7500
Au 0.5000 0.2500 0.2500

Computed, not measured: a relaxed structure of Sc4WAu at the PBE level of DFT.

Properties
E_form: 0.48 eV per atom
DOS(E_F): 6.41 states/eV per cell
SG: F-43m (216)

Cell lengths 5.5203, 5.5203, 5.5203 Å; angles 60.00, 60.00, 60.00 degrees
Positions (direct):
Sc 0.3755 0.3755 0.3755
Sc 0.8734 0.3755 0.3755
Sc 0.3755 0.3755 0.8734
Sc 0.3755 0.8734 0.3755
Au 0.0000 0.0000 0.0000
W 0.7500 0.7500 0.7500